VASP calculation (GGA-PBE) on a relaxed structure of Y2HgAu.

abc: 8.3127 8.3127 8.3127
angles: 27.82 27.82 27.82
With the nearest neighbours (Å) after each atom.
Atoms (fractional coordinates):
Y 0.0000 0.0000 0.0000  3 Au 2.93, 3 Hg 3.16
Y 0.1803 0.1803 0.1803  3 Au 2.96, 3 Hg 3.16
Hg 0.7569 0.7569 0.7569  6 Y 3.16
Au 0.5912 0.5912 0.5912  6 Y 2.93-2.96

The value obtained for the formation energy from the elements is -0.537 eV/atom. The calculation puts the total energy at -4.6639 eV per atom. Its total magnetic moment is 0.0 μB per formula unit. For the calculated volume, the calculation gives 110.5 Å³/f.u. For the density of states at the Fermi level, the calculation gives 2.57 states/eV/cell.

VASP calculation (GGA-PBE) on a relaxed structure of CeThP2Ir5.

abc: 4.0780 4.0780 10.9909
angles: 90.00 90.00 90.00
With the nearest neighbours (Å) after each atom.
Atoms (fractional coordinates):
Ce 0.0000 0.0000 0.0000  4 Ir 2.88
Th 0.0000 0.0000 0.5000  8 Ir 2.98
P 0.5000 0.5000 0.2085  5 Ir 2.28-2.29
P 0.5000 0.5000 0.7915  5 Ir 2.28-2.29
Ir 0.0000 0.5000 0.3021  2 P 2.28
Ir 0.0000 0.5000 0.6979  2 P 2.28
Ir 0.5000 0.0000 0.3021  2 P 2.28
Ir 0.5000 0.0000 0.6979  2 P 2.28
Ir 0.5000 0.5000 0.0000  2 P 2.29

The value obtained for the formation energy from the elements is -0.742 eV/atom. The calculation puts the total energy at -8.3507 eV per atom. Its total magnetic moment is 0.7 μB per formula unit. For the calculated volume, the calculation gives 182.8 Å³/f.u. For the density of states at the Fermi level, the calculation gives 8.33 states/eV/cell.

VASP calculation (GGA-PBE) on a relaxed structure of NaTl12Pb7.

abc: 9.1402 9.1402 9.1402
angles: 107.13 107.13 107.13
With the nearest neighbours (Å) after each atom.
Atoms (fractional coordinates):
Na 0.0000 0.0000 0.0000  6 Pb 3.31, 6 Tl 3.66
Tl 0.0581 0.4039 0.2973  5 Pb 3.35-3.61, 4 Tl 3.35-3.68, 1 Na 3.66
Tl 0.2144 0.3851 0.6692  4 Pb 3.28-3.61, 3 Tl 3.35-3.60
Tl 0.2973 0.0581 0.4039  5 Pb 3.35-3.61, 4 Tl 3.35-3.68, 1 Na 3.66
Tl 0.3308 0.7856 0.6149  4 Pb 3.28-3.61, 3 Tl 3.35-3.60
Tl 0.3851 0.6692 0.2144  4 Pb 3.28-3.61, 3 Tl 3.35-3.60
Tl 0.4039 0.2973 0.0581  5 Pb 3.35-3.61, 4 Tl 3.35-3.68, 1 Na 3.66
Tl 0.5961 0.7027 0.9419  5 Pb 3.35-3.61, 4 Tl 3.35-3.68, 1 Na 3.66
Tl 0.6149 0.3308 0.7856  4 Pb 3.28-3.61, 3 Tl 3.35-3.60
Tl 0.6692 0.2144 0.3851  4 Pb 3.28-3.61, 3 Tl 3.35-3.60
Tl 0.7027 0.9419 0.5961  5 Pb 3.35-3.61, 4 Tl 3.35-3.68, 1 Na 3.66
Tl 0.7856 0.6149 0.3308  4 Pb 3.28-3.61, 3 Tl 3.35-3.60
Tl 0.9419 0.5961 0.7027  5 Pb 3.35-3.61, 4 Tl 3.35-3.68, 1 Na 3.66
Pb 0.0021 0.3160 0.8932  7 Tl 3.28-3.61, 1 Na 3.31, 3 Pb 3.37-3.53
Pb 0.1068 0.9979 0.6840  7 Tl 3.28-3.61, 1 Na 3.31, 3 Pb 3.37-3.53
Pb 0.3160 0.8932 0.0021  7 Tl 3.28-3.61, 1 Na 3.31, 3 Pb 3.37-3.53
Pb 0.5000 0.5000 0.5000  12 Tl 3.47-3.61
Pb 0.6840 0.1068 0.9979  7 Tl 3.28-3.61, 1 Na 3.31, 3 Pb 3.37-3.53
Pb 0.8932 0.0021 0.3160  7 Tl 3.28-3.61, 1 Na 3.31, 3 Pb 3.37-3.53
Pb 0.9979 0.6840 0.1068  7 Tl 3.28-3.61, 1 Na 3.31, 3 Pb 3.37-3.53

The value obtained for the formation energy from the elements is 0.020 eV/atom. The calculation puts the total energy at -2.7633 eV per atom. Its total magnetic moment is 0.0 μB per formula unit. For the calculated volume, the calculation gives 633.7 Å³/f.u. For the density of states at the Fermi level, the calculation gives 8.78 states/eV/cell.

VASP calculation (GGA-PBE) on a relaxed structure of CsCr3Br.

abc: 5.9832 5.9832 5.9832
angles: 90.00 90.00 90.00
With the nearest neighbours (Å) after each atom.
Atoms (fractional coordinates):
Cs 0.0000 0.0000 0.0000  6 Cr 2.99
Cr 0.0000 0.0000 0.5000  2 Cs 2.99
Cr 0.0000 0.5000 0.0000  2 Cs 2.99
Cr 0.5000 0.0000 0.0000  2 Cs 2.99
Br 0.5000 0.5000 0.5000  12 Cr 4.23

Its formation energy (no corrections) is 2.1216 eV/atom. The calculation puts the total energy at -4.1577 eV per atom. Its total magnetic moment is 17.4 μB per formula unit. For the calculated volume, the calculation gives 214.2 Å³/f.u. For the density of states at the Fermi level, the calculation gives 2.94 states/eV/cell.

VASP calculation (GGA-PBE) on a relaxed structure of LaTa2Nb.

abc: 6.2849 6.2849 6.2849
angles: 102.36 102.36 124.88
With the nearest neighbours (Å) after each atom.
Atoms (fractional coordinates):
La 0.0000 0.0000 0.0000  2 Nb 2.91, 4 Ta 3.03
La 0.7500 0.2500 0.5000  2 Nb 2.91, 4 Ta 3.03
Ta 0.1524 0.6250 0.0274  2 Nb 2.74, 2 Ta 2.94, 2 La 3.03
Ta 0.3750 0.4024 0.5274  2 Nb 2.74, 2 Ta 2.94, 2 La 3.03
Ta 0.5976 0.1250 0.9726  2 Nb 2.74, 2 Ta 2.94, 2 La 3.03
Ta 0.8750 0.8476 0.4726  2 Nb 2.74, 2 Ta 2.94, 2 La 3.03
Nb 0.2500 0.7500 0.5000  4 Ta 2.74, 2 La 2.91
Nb 0.5000 0.5000 0.0000  4 Ta 2.74, 2 La 2.91

The value obtained for the formation energy from the elements is 0.886 eV/atom. The polymorph energy (0 for the lowest one) is 0.3712 eV per atom. The calculation puts the total energy at -8.7900 eV per atom. Its total magnetic moment is 0.0 μB per formula unit. For the calculated volume, the calculation gives 90.3 Å³/f.u. For the density of states at the Fermi level, the calculation gives 8.10 states/eV/cell.

VASP calculation (GGA-PBE) on a relaxed structure of NdBeAl2Pt4.

abc: 9.0185 9.0185 9.0185
angles: 27.18 27.18 27.18
With the nearest neighbours (Å) after each atom.
Atoms (fractional coordinates):
Nd 0.0000 0.0000 0.0000  6 Pt 3.13, 6 Al 3.49
Be 0.5000 0.5000 0.5000  8 Pt 2.39-2.56
Al 0.2377 0.2377 0.2377  7 Pt 2.51-2.68
Al 0.7623 0.7623 0.7623  7 Pt 2.51-2.68
Pt 0.1373 0.1373 0.1373  3 Be 2.56, 4 Al 2.61-2.68
Pt 0.4083 0.4083 0.4083  1 Be 2.39, 3 Al 2.51
Pt 0.5917 0.5917 0.5917  1 Be 2.39, 3 Al 2.51
Pt 0.8627 0.8627 0.8627  3 Be 2.56, 4 Al 2.61-2.68

The value obtained for the formation energy from the elements is -1.017 eV/atom. The calculation puts the total energy at -6.0346 eV per atom. Its total magnetic moment is 0.0 μB per formula unit. For the calculated volume, the calculation gives 135.0 Å³/f.u. For the density of states at the Fermi level, the calculation gives 3.16 states/eV/cell.

VASP calculation (GGA-PBE) on a relaxed structure of NdSm2Er2.

abc: 12.8024 12.8024 12.8024
angles: 161.57 161.57 26.18
With the nearest neighbours (Å) after each atom.
Atoms (fractional coordinates):
Nd 0.0000 0.0000 0.0000  2 Sm 3.34
Sm 0.1338 0.1338 0.0000  1 Nd 3.34, 4 Er 3.55
Sm 0.8662 0.8662 0.0000  1 Nd 3.34, 4 Er 3.55
Er 0.2500 0.7500 0.5000  4 Er 2.90
Er 0.7500 0.2500 0.5000  4 Er 2.90

The value obtained for the formation energy from the elements is 0.908 eV/atom. The polymorph energy (0 for the lowest one) is 0.6320 eV per atom. The calculation puts the total energy at -3.7584 eV per atom. Its total magnetic moment is 2.0 μB per formula unit. For the calculated volume, the calculation gives 209.6 Å³/f.u. For the density of states at the Fermi level, the calculation gives 8.52 states/eV/cell.

VASP calculation (GGA-PBE) on a relaxed structure of SrGeTeN2.

abc: 4.7718 4.7718 6.6765
angles: 90.00 90.00 90.00
With the nearest neighbours (Å) after each atom.
Atoms (fractional coordinates):
Sr 0.0000 0.0000 0.0000  4 N 2.39
Ge 0.5000 0.5000 0.5000  4 Te 3.37
Te 0.0000 0.0000 0.5000  2 Sr 3.34, 4 Ge 3.37
N 0.0000 0.5000 0.0000  2 Sr 2.39
N 0.5000 0.0000 0.0000  2 Sr 2.39

The polymorph energy (0 for the lowest one) is 0.7469 eV per atom. Its formation energy (no corrections) is 1.3840 eV/atom. The calculation puts the total energy at -3.8343 eV per atom. Its total magnetic moment is 4.0 μB per formula unit. For the calculated volume, the calculation gives 152.0 Å³/f.u. For the density of states at the Fermi level, the calculation gives 2.09 states/eV/cell.

VASP calculation (GGA-PBE) on a relaxed structure of CsIn3Pb3.

abc: 8.4113 8.4113 8.4113
angles: 90.00 90.00 90.00
With the nearest neighbours (Å) after each atom.
Atoms (fractional coordinates):
Cs 0.0000 0.0000 0.0000  12 In 4.70, 12 Pb 4.70
Cs 0.5000 0.5000 0.5000  12 In 4.70, 12 Pb 4.70
In 0.0000 0.2500 0.5000  4 Pb 2.97
In 0.0000 0.7500 0.5000  4 Pb 2.97
In 0.2500 0.5000 0.0000  4 Pb 2.97
In 0.5000 0.0000 0.2500  4 Pb 2.97
In 0.5000 0.0000 0.7500  4 Pb 2.97
In 0.7500 0.5000 0.0000  4 Pb 2.97
Pb 0.0000 0.5000 0.2500  4 In 2.97
Pb 0.0000 0.5000 0.7500  4 In 2.97
Pb 0.2500 0.0000 0.5000  4 In 2.97
Pb 0.5000 0.2500 0.0000  4 In 2.97
Pb 0.5000 0.7500 0.0000  4 In 2.97
Pb 0.7500 0.0000 0.5000  4 In 2.97

The value obtained for the formation energy from the elements is 0.034 eV/atom. The polymorph energy (0 for the lowest one) is 0.0000 eV per atom. The calculation puts the total energy at -2.8505 eV per atom. Its total magnetic moment is 0.0 μB per formula unit. For the calculated volume, the calculation gives 297.5 Å³/f.u. For the density of states at the Fermi level, the calculation gives 10.89 states/eV/cell.

VASP calculation (GGA-PBE) on a relaxed structure of Pm2S2Cl.

abc: 7.0226 7.0226 8.2728
angles: 108.40 108.40 47.07
With the nearest neighbours (Å) after each atom.
Atoms (fractional coordinates):
Pm 0.0115 0.0115 0.2467  4 S 2.79-2.85, 2 Cl 2.85-2.86
Pm 0.3350 0.3350 0.9269  5 S 2.79-2.87, 1 Cl 2.91
Pm 0.6650 0.6650 0.0731  5 S 2.79-2.87, 1 Cl 2.91
Pm 0.9885 0.9885 0.7533  4 S 2.79-2.85, 2 Cl 2.85-2.86
S 0.1645 0.1645 0.0762  5 Pm 2.79-2.87
S 0.4911 0.4911 0.7579  4 Pm 2.79-2.82
S 0.5089 0.5089 0.2421  4 Pm 2.79-2.82
S 0.8355 0.8355 0.9238  5 Pm 2.79-2.87
Cl 0.1552 0.1552 0.5965  3 Pm 2.85-2.91
Cl 0.8448 0.8448 0.4035  3 Pm 2.85-2.91

The polymorph energy (0 for the lowest one) is 0.0000 eV per atom. Its formation energy (no corrections) is -2.0616 eV/atom. The calculation puts the total energy at -5.9822 eV per atom. Its total magnetic moment is 0.0 μB per formula unit. For the calculated volume, the calculation gives 140.2 Å³/f.u. For the density of states at the Fermi level, the calculation gives 3.84 states/eV/cell.

VASP calculation (GGA-PBE) on a relaxed structure of TmSbPd3.

abc: 4.3986 5.6700 7.8361
angles: 90.00 90.00 90.00
With the nearest neighbours (Å) after each atom.
Atoms (fractional coordinates):
Tm 0.2500 0.2500 0.0620  7 Pd 2.84-2.97
Tm 0.7500 0.7500 0.9380  7 Pd 2.84-2.97
Sb 0.2500 0.7500 0.3552  8 Pd 2.77-2.89
Sb 0.7500 0.2500 0.6448  8 Pd 2.77-2.89
Pd 0.2500 0.2500 0.4267  4 Sb 2.79-2.89, 1 Tm 2.86, 6 Pd 2.94
Pd 0.2500 0.5090 0.7521  5 Pd 2.73-2.94, 2 Sb 2.77, 3 Tm 2.84-2.97
Pd 0.2500 0.9910 0.7521  5 Pd 2.73-2.94, 2 Sb 2.77, 3 Tm 2.84-2.97
Pd 0.7500 0.0090 0.2479  5 Pd 2.73-2.94, 2 Sb 2.77, 3 Tm 2.84-2.97
Pd 0.7500 0.4910 0.2479  5 Pd 2.73-2.94, 2 Sb 2.77, 3 Tm 2.84-2.97
Pd 0.7500 0.7500 0.5733  4 Sb 2.79-2.89, 1 Tm 2.86, 6 Pd 2.94

Its formation energy (no corrections) is -0.6686 eV/atom. The calculation puts the total energy at -5.5031 eV per atom. Its total magnetic moment is 0.0 μB per formula unit. For the calculated volume, the calculation gives 97.7 Å³/f.u. For the density of states at the Fermi level, the calculation gives 5.50 states/eV/cell.

VASP calculation (GGA-PBE) on a relaxed structure of TlZn2Cl.

abc: 3.5350 3.5350 7.4046
angles: 90.00 90.00 90.00
With the nearest neighbours (Å) after each atom.
Atoms (fractional coordinates):
Tl 0.0000 0.0000 0.0000  8 Zn 3.19, 4 Tl 3.53
Zn 0.5000 0.5000 0.2678  4 Cl 3.03, 4 Tl 3.19
Zn 0.5000 0.5000 0.7322  4 Cl 3.03, 4 Tl 3.19
Cl 0.0000 0.0000 0.5000  8 Zn 3.03

The polymorph energy (0 for the lowest one) is 0.1825 eV per atom. Its formation energy (no corrections) is -0.0515 eV/atom. The calculation puts the total energy at -1.7417 eV per atom. Its total magnetic moment is 0.0 μB per formula unit. For the calculated volume, the calculation gives 92.5 Å³/f.u. For the density of states at the Fermi level, the calculation gives 0.79 states/eV/cell.